Entry i
Below is crystalline AgAuCl6 at its relaxed geometry, with properties calculated at the PBE level.

## Properties
Space-group type = No. 148
DOS at the Fermi energy = 0.2 states/eV/cell
Total moment = 0.00 μB/f.u.

abc: 6.476 6.477 6.791
angles: 61.53 61.54 60.00
Fractional coordinates of all 8 atoms:
Ag  0.500  0.500  0.500
Au  0.000  0.000  0.000
Cl  0.097  0.378  0.756
Cl  0.769  0.097  0.756
Cl  0.622  0.231  0.244
Cl  0.231  0.903  0.244
Cl  0.903  0.622  0.244
Cl  0.378  0.769  0.756

---

Entry ii
Below is crystalline AgAuCl6 at its relaxed geometry, with properties calculated at the PBE level.

## Properties
Space-group type = No. 12
Total moment = 0.00 μB/f.u.

abc: 7.369 6.361 7.565
angles: 86.15 83.34 54.60
Fractional coordinates of all 8 atoms:
Ag  0.000  0.000  0.500
Au  0.000  0.000  0.000
Cl  0.394  0.000  0.425
Cl  0.134  0.686  0.786
Cl  0.606  0.000  0.575
Cl  0.180  0.686  0.214
Cl  0.866  0.314  0.214
Cl  0.820  0.314  0.786

---

Energy relative to the most stable one, in meV/atom: entry i 107; entry ii 0

---

Entry i
Below is crystalline Ag2Au2Cl at its relaxed geometry, with properties calculated at the PBE level.

## Properties
Space-group type = No. 139
DOS at the Fermi energy = 4.7 states/eV/cell
Total moment = 0.00 μB/f.u.

abc: 3.977 3.977 7.302
angles: 74.20 74.20 90.00
Fractional coordinates of all 5 atoms:
Au  0.398  0.398  0.205
Au  0.602  0.602  0.795
Ag  0.750  0.250  0.500
Ag  0.250  0.750  0.500
Cl  0.000  0.000  0.000

---

Entry ii
Below is crystalline Ag2Au2Cl at its relaxed geometry, with properties calculated at the PBE level.

## Properties
Space-group type = No. 139
DOS at the Fermi energy = 1.6 states/eV/cell
Total moment = 0.00 μB/f.u.

abc: 3.835 3.835 7.745
angles: 75.67 75.67 90.00
Fractional coordinates of all 5 atoms:
Au  0.750  0.250  0.500
Au  0.250  0.750  0.500
Ag  0.401  0.401  0.199
Ag  0.599  0.599  0.801
Cl  0.000  0.000  0.000

---

Energy relative to the most stable one, in meV/atom: entry i 224; entry ii 0

---

Entry i
Below is crystalline Ag2AuCl6 at its relaxed geometry, with properties calculated at the PBE level.

## Properties
Space-group type = No. 14
DOS at the Fermi energy = 6.6 states/eV/cell
Total moment = 0.00 μB/f.u.

abc: 6.705 6.858 11.828
angles: 90.00 104.51 90.00
Fractional coordinates of all 18 atoms:
Ag  0.974  0.649  0.835
Ag  0.526  0.149  0.665
Ag  0.474  0.851  0.335
Ag  0.026  0.351  0.165
Au  0.500  0.500  0.000
Au  0.000  0.000  0.500
Cl  0.161  0.025  0.234
Cl  0.174  0.289  0.565
Cl  0.194  0.331  0.923
Cl  0.306  0.831  0.577
Cl  0.326  0.789  0.935
Cl  0.339  0.525  0.266
Cl  0.839  0.975  0.766
Cl  0.826  0.711  0.435
Cl  0.806  0.669  0.077
Cl  0.694  0.169  0.423
Cl  0.674  0.211  0.065
Cl  0.661  0.475  0.734

---

Entry ii
Below is crystalline Ag2AuCl6 at its relaxed geometry, with properties calculated at the PBE level.

## Properties
Space-group type = No. 15
DOS at the Fermi energy = 2.8 states/eV/cell
Total moment = 0.00 μB/f.u.

abc: 8.922 8.034 8.034
angles: 78.73 84.68 84.68
Fractional coordinates of all 18 atoms:
Ag  0.222  0.699  0.699
Ag  0.278  0.301  0.301
Ag  0.778  0.301  0.301
Ag  0.722  0.699  0.699
Au  0.250  0.999  0.001
Au  0.750  0.001  0.999
Cl  0.486  0.621  0.622
Cl  0.014  0.378  0.379
Cl  0.514  0.379  0.378
Cl  0.986  0.622  0.621
Cl  0.799  0.964  0.283
Cl  0.701  0.717  0.036
Cl  0.201  0.036  0.717
Cl  0.299  0.283  0.964
Cl  0.201  0.715  0.037
Cl  0.299  0.963  0.285
Cl  0.799  0.285  0.963
Cl  0.701  0.037  0.715

---

Energy relative to the most stable one, in meV/atom: entry i 0; entry ii 43

---

Entry i
Below is crystalline AgAu3Cl at its relaxed geometry, with properties calculated at the PBE level.

## Properties
Space-group type = No. 221
DOS at the Fermi energy = 6.8 states/eV/cell
Total moment = 0.00 μB/f.u.

abc: 4.972 4.972 4.972
angles: 90.00 90.00 90.00
Fractional coordinates of all 5 atoms:
Au  0.000  0.500  0.000
Au  0.000  0.000  0.500
Au  0.500  0.000  0.000
Ag  0.500  0.500  0.500
Cl  0.000  0.000  0.000

---

Entry ii
Below is crystalline AgAu3Cl at its relaxed geometry, with properties calculated at the PBE level.

## Properties
Space-group type = No. 221
DOS at the Fermi energy = 4.3 states/eV/cell
Total moment = 0.00 μB/f.u.

abc: 5.143 5.143 5.143
angles: 90.00 90.00 90.00
Fractional coordinates of all 5 atoms:
Au  0.000  0.500  0.000
Au  0.000  0.000  0.500
Au  0.500  0.000  0.000
Ag  0.000  0.000  0.000
Cl  0.500  0.500  0.500

---

Energy relative to the most stable one, in meV/atom: entry i 131; entry ii 0

---

Entry i
Below is crystalline AgAuCl5 at its relaxed geometry, with properties calculated at the PBE level.

## Properties
Space-group type = No. 15
DOS at the Fermi energy = 5.1 states/eV/cell
Total moment = 0.00 μB/f.u.

abc: 6.546 6.546 10.084
angles: 68.23 68.23 68.20
Fractional coordinates of all 14 atoms:
Ag  0.534  0.466  0.250
Ag  0.466  0.534  0.750
Au  0.000  0.000  0.000
Au  0.000  0.000  0.500
Cl  0.859  0.671  0.139
Cl  0.227  0.631  0.476
Cl  0.671  0.859  0.639
Cl  0.896  0.104  0.250
Cl  0.369  0.773  0.024
Cl  0.631  0.227  0.976
Cl  0.104  0.896  0.750
Cl  0.329  0.141  0.361
Cl  0.773  0.369  0.524
Cl  0.141  0.329  0.861

---

Entry ii
Below is crystalline AgAuCl5 at its relaxed geometry, with properties calculated at the PBE level.

## Properties
Space-group type = No. 15
DOS at the Fermi energy = 7.1 states/eV/cell
Total moment = 0.00 μB/f.u.

abc: 7.879 7.880 8.912
angles: 113.99 114.00 102.28
Fractional coordinates of all 14 atoms:
Ag  0.500  0.000  0.000
Ag  0.500  0.000  0.500
Au  0.847  0.653  0.250
Au  0.153  0.347  0.750
Cl  0.876  0.944  0.237
Cl  0.147  0.676  0.247
Cl  0.417  0.083  0.250
Cl  0.556  0.624  0.263
Cl  0.444  0.376  0.737
Cl  0.824  0.353  0.253
Cl  0.176  0.647  0.747
Cl  0.583  0.917  0.750
Cl  0.853  0.324  0.753
Cl  0.124  0.056  0.763

---

Energy relative to the most stable one, in meV/atom: entry i 76; entry ii 0

---

Entry i
Below is crystalline Ag3AuCl at its relaxed geometry, with properties calculated at the PBE level.

## Properties
Space-group type = No. 221
DOS at the Fermi energy = 1.7 states/eV/cell
Total moment = 0.00 μB/f.u.

abc: 4.971 4.971 4.971
angles: 90.00 90.00 90.00
Fractional coordinates of all 5 atoms:
Au  0.500  0.500  0.500
Ag  0.000  0.500  0.000
Ag  0.000  0.000  0.500
Ag  0.500  0.000  0.000
Cl  0.000  0.000  0.000

---

Entry ii
Below is crystalline Ag3AuCl at its relaxed geometry, with properties calculated at the PBE level.

## Properties
Space-group type = No. 221
DOS at the Fermi energy = 2.9 states/eV/cell
Total moment = 0.00 μB/f.u.

abc: 5.217 5.217 5.217
angles: 90.00 90.00 90.00
Fractional coordinates of all 5 atoms:
Au  0.000  0.000  0.000
Ag  0.000  0.500  0.000
Ag  0.000  0.000  0.500
Ag  0.500  0.000  0.000
Cl  0.500  0.500  0.500

---

Energy relative to the most stable one, in meV/atom: entry i 70; entry ii 0

---

Entry i
Below is crystalline AgAuNCl2 at its relaxed geometry, with properties calculated at the PBE level.

## Properties
Space-group type = No. 123
DOS at the Fermi energy = 2.0 states/eV/cell
Total moment = 2.89 μB/f.u.

abc: 4.943 5.431 4.943
angles: 90.00 90.00 90.00
Last column: magnetic moment on the atom in μB.
Fractional coordinates of all 5 atoms:
N  0.500  0.500  0.500  1.88
Au  0.000  0.500  0.000  -0.01
Ag  0.000  0.000  0.000  0.01
Cl  0.000  0.000  0.500  0.03
Cl  0.500  0.000  0.000  0.03

---

Entry ii
Below is crystalline AgAuNCl2 at its relaxed geometry, with properties calculated at the PBE level.

## Properties
Space-group type = No. 123
DOS at the Fermi energy = 2.1 states/eV/cell
Total moment = 0.00 μB/f.u.

abc: 4.536 4.410 4.536
angles: 90.00 90.00 90.00
Fractional coordinates of all 5 atoms:
N  0.000  0.000  0.000
Au  0.500  0.500  0.500
Ag  0.000  0.500  0.000
Cl  0.000  0.000  0.500
Cl  0.500  0.000  0.000

---

Energy relative to the most stable one, in meV/atom: entry i 175; entry ii 0

---

Entry i
Below is crystalline AgP2AuCl at its relaxed geometry, with properties calculated at the PBE level.

## Properties
Space-group type = No. 123
DOS at the Fermi energy = 3.4 states/eV/cell
Total moment = 1.52 μB/f.u.

abc: 4.878 4.878 4.896
angles: 90.00 90.00 90.00
Last column: magnetic moment on the atom in μB.
Fractional coordinates of all 5 atoms:
P  0.000  0.500  0.000  0.32
P  0.500  0.000  0.000  0.32
Au  0.500  0.500  0.500  0.03
Ag  0.000  0.000  0.000  0.04
Cl  0.000  0.000  0.500  0.10

---

Entry ii
Below is crystalline AgP2AuCl at its relaxed geometry, with properties calculated at the PBE level.

## Properties
Space-group type = No. 123
DOS at the Fermi energy = 3.3 states/eV/cell
Total moment = 1.57 μB/f.u.

abc: 4.700 4.700 5.859
angles: 90.00 90.00 90.00
Last column: magnetic moment on the atom in μB.
Fractional coordinates of all 5 atoms:
P  0.000  0.500  0.000  0.31
P  0.500  0.000  0.000  0.31
Au  0.000  0.000  0.000  0.11
Ag  0.500  0.500  0.500  0.02
Cl  0.000  0.000  0.500  0.10

---

Energy relative to the most stable one, in meV/atom: entry i 198; entry ii 0